1.
Material: PmH2Br2
Method: DFT, PBE-GGA
State: optimized geometry

Calculated values
- mass density (g/cm³) = 4.7
- symmetry = P-1
- relative energy among the computed polymorphs (eV/f.u.) = 1.05

Unit cell a=3.930 b=6.811 c=8.592 alpha=71.00 beta=89.26 gamma=89.49
Sites, in units of the cell vectors:
Pm  0.248  0.245  0.115
Pm  0.752  0.755  0.885
H  0.119  0.091  0.387
H  0.249  0.604  0.018
H  0.751  0.396  0.982
H  0.881  0.909  0.613
Br  0.251  0.665  0.655
Br  0.255  0.108  0.810
Br  0.745  0.892  0.190
Br  0.749  0.335  0.345



2.
Material: PmHBr2
Method: DFT, PBE-GGA
State: optimized geometry

Calculated values
- mass density (g/cm³) = 4.9
- symmetry = R3m
- relative energy among the computed polymorphs (eV/f.u.) = 0.00

Unit cell a=7.931 b=7.931 c=7.931 alpha=28.98 beta=28.98 gamma=28.98
Sites, in units of the cell vectors:
Pm  0.000  0.000  0.000
H  0.333  0.333  0.333
Br  0.581  0.581  0.581
Br  0.752  0.752  0.752



3.
Material: Pm3HBr7
Method: DFT, PBE-GGA
State: optimized geometry

Calculated values
- mass density (g/cm³) = 4.1
- symmetry = P3m1

Unit cell a=8.197 b=8.197 c=7.002 alpha=90.00 beta=90.00 gamma=120.00
Sites, in units of the cell vectors:
Pm  0.012  0.506  0.000
Pm  0.494  0.506  0.000
Pm  0.494  0.988  0.000
H  0.333  0.667  0.912
Br  0.168  0.335  0.244
Br  0.168  0.832  0.244
Br  0.337  0.169  0.765
Br  0.665  0.832  0.244
Br  0.667  0.333  0.242
Br  0.831  0.169  0.765
Br  0.831  0.663  0.765



4.
Material: PmHBr4
Method: DFT, PBE-GGA
State: optimized geometry

Calculated values
- mass density (g/cm³) = 4.1
- symmetry = C2/c
- relative energy among the computed polymorphs (eV/f.u.) = 0.00

Unit cell a=8.087 b=8.087 c=7.053 alpha=103.05 beta=103.05 gamma=114.56
Sites, in units of the cell vectors:
Pm  0.097  0.903  0.750
Pm  0.903  0.097  0.250
H  0.249  0.751  0.250
H  0.751  0.249  0.750
Br  0.194  0.254  0.067
Br  0.202  0.677  0.451
Br  0.254  0.194  0.567
Br  0.323  0.798  0.049
Br  0.677  0.202  0.951
Br  0.746  0.806  0.433
Br  0.798  0.323  0.549
Br  0.806  0.746  0.933



5.
Material: Pm7HBr12
Method: DFT, PBE-GGA
State: optimized geometry

Calculated values
- mass density (g/cm³) = 5.2
- symmetry = R-3

Unit cell a=9.190 b=9.190 c=9.190 alpha=107.82 beta=107.82 gamma=107.82
Sites, in units of the cell vectors:
Pm  0.000  0.000  0.000
Pm  0.187  0.464  0.390
Pm  0.390  0.187  0.464
Pm  0.464  0.390  0.187
Pm  0.536  0.610  0.813
Pm  0.610  0.813  0.536
Pm  0.813  0.536  0.610
H  0.500  0.500  0.500
Br  0.023  0.108  0.346
Br  0.108  0.346  0.023
Br  0.184  0.577  0.726
Br  0.274  0.816  0.423
Br  0.346  0.023  0.108
Br  0.423  0.274  0.816
Br  0.577  0.726  0.184
Br  0.654  0.977  0.892
Br  0.726  0.184  0.577
Br  0.816  0.423  0.274
Br  0.892  0.654  0.977
Br  0.977  0.892  0.654



6.
Material: Pm4H2Br5
Method: DFT, PBE-GGA
State: optimized geometry

Calculated values
- mass density (g/cm³) = 5.5
- symmetry = C2/m

Unit cell a=9.150 b=9.150 c=8.625 alpha=103.55 beta=103.55 gamma=25.07
Sites, in units of the cell vectors:
Pm  0.003  0.003  0.224
Pm  0.354  0.354  0.917
Pm  0.646  0.646  0.083
Pm  0.997  0.997  0.776
H  0.466  0.466  0.849
H  0.534  0.534  0.151
Br  0.172  0.172  0.347
Br  0.174  0.174  0.835
Br  0.500  0.500  0.500
Br  0.826  0.826  0.165
Br  0.828  0.828  0.653



7.
Material: PmHBr2
Method: DFT, PBE-GGA
State: optimized geometry

Calculated values
- mass density (g/cm³) = 3.9
- symmetry = Pnna
- relative energy among the computed polymorphs (eV/f.u.) = 0.98

Unit cell a=7.554 b=6.472 c=10.714 alpha=90.00 beta=90.00 gamma=90.00
Sites, in units of the cell vectors:
Pm  0.250  0.000  0.111
Pm  0.250  0.500  0.389
Pm  0.750  0.000  0.889
Pm  0.750  0.500  0.611
H  0.210  0.250  0.250
H  0.290  0.750  0.250
H  0.710  0.250  0.750
H  0.790  0.750  0.750
Br  0.067  0.247  0.927
Br  0.067  0.253  0.573
Br  0.433  0.747  0.573
Br  0.433  0.753  0.927
Br  0.567  0.247  0.073
Br  0.567  0.253  0.427
Br  0.933  0.747  0.427
Br  0.933  0.753  0.073



8.
Material: PmH2Br2
Method: DFT, PBE-GGA
State: optimized geometry

Calculated values
- mass density (g/cm³) = 3.1
- symmetry = C2/m
- relative energy among the computed polymorphs (eV/f.u.) = 0.00

Unit cell a=6.858 b=6.858 c=7.669 alpha=98.95 beta=98.95 gamma=108.27
Sites, in units of the cell vectors:
Pm  0.175  0.825  0.000
Pm  0.825  0.175  0.000
H  0.079  0.079  0.920
H  0.118  0.118  0.081
H  0.882  0.882  0.919
H  0.921  0.921  0.080
Br  0.062  0.566  0.259
Br  0.434  0.938  0.741
Br  0.566  0.062  0.259
Br  0.938  0.434  0.741



no.,E_tot (eV per atom)
1,-3.6994
2,-4.4030
3,-4.2394
4,-3.7460
5,-4.3506
6,-4.3868
7,-4.1582
8,-3.9092